An optimized crystal structure of CsNdMn2O8, computed with PBE+U.

a = 5.8875 Å, b = 5.8875 Å, c = 8.5744 Å
α = 90.00°, β = 90.00°, γ = 120.00°
Last column: nearest neighbours and their distance in Å.
Element x y z (fractional)
Cs1 0.0000 0.0000 0.0000  12 O 3.35-3.46
Nd1 0.0000 0.0000 0.5000  6 O 2.34
Mn1 0.3333 0.6667 0.7379  4 O 1.63-1.68
Mn2 0.6667 0.3333 0.2621  4 O 1.63-1.68
O1 0.1735 0.3573 0.6718  1 Mn 1.68
O2 0.1838 0.8265 0.6718  1 Mn 1.68
O3 0.3333 0.6667 0.9277  1 Mn 1.63
O4 0.3573 0.1838 0.3282  1 Mn 1.68
O5 0.6427 0.8162 0.6718  1 Mn 1.68
O6 0.6667 0.3333 0.0723  1 Mn 1.63
O7 0.8162 0.1735 0.3282  1 Mn 1.68
O8 0.8265 0.6427 0.3282  1 Mn 1.68

Summary:
VASP energy, eV per cell: -77.532
Size of the total moment, μB per formula unit: 2.000
N(E_F), states/eV/f.u.: 8.57

---

An optimized crystal structure of Cs4Nd3MnO8, computed with PBE+U.

a = 7.3812 Å, b = 7.3812 Å, c = 7.9830 Å
α = 115.48°, β = 115.48°, γ = 57.36°
Last column: nearest neighbours and their distance in Å.
Element x y z (fractional)
Cs1 0.0000 0.0000 0.0000  2 O 2.82
Cs2 0.0000 0.5000 0.0000  6 O 3.02-3.33
Cs3 0.5000 0.0000 0.0000  6 O 3.02-3.33
Cs4 0.5000 0.5000 0.0000  6 O 3.06-3.34
Nd1 0.0000 0.0000 0.5000  6 O 2.41-2.47
Nd2 0.0000 0.5000 0.5000  6 O 2.36-2.52
Nd3 0.5000 0.0000 0.5000  6 O 2.36-2.52
Mn1 0.5000 0.5000 0.5000  4 O 2.05
O1 0.2134 0.2134 0.6695  3 Nd 2.41
O2 0.2377 0.2377 0.2961  2 Nd 2.36
O3 0.2591 0.6830 0.6460  1 Mn 2.05
O4 0.3170 0.7409 0.3540  1 Mn 2.05
O5 0.6830 0.2591 0.6460  1 Mn 2.05
O6 0.7409 0.3170 0.3540  1 Mn 2.05
O7 0.7623 0.7623 0.7039  2 Nd 2.36
O8 0.7866 0.7866 0.3305  3 Nd 2.41

Summary:
VASP energy, eV per cell: -99.445
Size of the total moment, μB per formula unit: 4.043

---

What did the second record say?
An optimized crystal structure of Cs4Nd3MnO8, computed with PBE+U.

a = 7.3812 Å, b = 7.3812 Å, c = 7.9830 Å
α = 115.48°, β = 115.48°, γ = 57.36°
Last column: nearest neighbours and their distance in Å.
Element x y z (fractional)
Cs1 0.0000 0.0000 0.0000  2 O 2.82
Cs2 0.0000 0.5000 0.0000  6 O 3.02-3.33
Cs3 0.5000 0.0000 0.0000  6 O 3.02-3.33
Cs4 0.5000 0.5000 0.0000  6 O 3.06-3.34
Nd1 0.0000 0.0000 0.5000  6 O 2.41-2.47
Nd2 0.0000 0.5000 0.5000  6 O 2.36-2.52
Nd3 0.5000 0.0000 0.5000  6 O 2.36-2.52
Mn1 0.5000 0.5000 0.5000  4 O 2.05
O1 0.2134 0.2134 0.6695  3 Nd 2.41
O2 0.2377 0.2377 0.2961  2 Nd 2.36
O3 0.2591 0.6830 0.6460  1 Mn 2.05
O4 0.3170 0.7409 0.3540  1 Mn 2.05
O5 0.6830 0.2591 0.6460  1 Mn 2.05
O6 0.7409 0.3170 0.3540  1 Mn 2.05
O7 0.7623 0.7623 0.7039  2 Nd 2.36
O8 0.7866 0.7866 0.3305  3 Nd 2.41

Summary:
VASP energy, eV per cell: -99.445
Size of the total moment, μB per formula unit: 4.043